1.
A plane-wave DFT calculation with PBE was carried out for crystalline CsIn2Rh2 at its relaxed geometry.

a b c (Å): 8.274 8.274 3.181
angles (deg): 90.00 90.00 90.00
Sites, in units of the cell vectors:
Cs 0.000 0.000 0.000
Cs 0.500 0.500 0.000
In 0.140 0.360 0.500
In 0.360 0.860 0.500
In 0.640 0.140 0.500
In 0.860 0.640 0.500
Rh 0.145 0.645 0.000
Rh 0.355 0.145 0.000
Rh 0.645 0.855 0.000
Rh 0.855 0.355 0.000

## Properties
E	-21.072	eV/f.u.
excess energy over the best structure of this formula in the dataset	0.000	eV per atom
calculated volume	21.78	A^3/atom
symmetry	P4/mbm (127)
DFT formation energy	-0.008	eV/atom

---

2.
A plane-wave DFT calculation with PBE was carried out for crystalline Be3ZnW at its relaxed geometry.

a b c (Å): 3.935 3.935 3.935
angles (deg): 90.00 90.00 90.00
Sites, in units of the cell vectors:
Be 0.000 0.000 0.500
Be 0.000 0.500 0.000
Be 0.500 0.000 0.000
Zn 0.000 0.000 0.000
W 0.500 0.500 0.500

## Properties
E	-20.020	eV/f.u.
excess energy over the best structure of this formula in the dataset	0.000	eV per atom
calculated volume	12.19	A^3/atom
symmetry	Pm-3m (221)
DFT formation energy	1.077	eV/atom

---

3.
A plane-wave DFT calculation with PBE was carried out for crystalline NaIn3Ga at its relaxed geometry.

a b c (Å): 7.493 4.777 7.652
angles (deg): 90.00 104.61 90.00
Sites, in units of the cell vectors:
Na 0.179 0.250 0.200
Na 0.821 0.750 0.800
In 0.109 0.250 0.742
In 0.352 0.750 0.948
In 0.484 0.250 0.639
In 0.516 0.750 0.361
In 0.648 0.250 0.052
In 0.891 0.750 0.258
Ga 0.219 0.750 0.545
Ga 0.781 0.250 0.455

## Properties
E	-12.811	eV/f.u.
excess energy over the best structure of this formula in the dataset	0.013	eV per atom
calculated volume	26.51	A^3/atom
symmetry	P2_1/m (11)
DFT formation energy	-0.050	eV/atom

---

4.
A plane-wave DFT calculation with PBE was carried out for crystalline Mn2GeAu at its relaxed geometry.

a b c (Å): 3.922 3.922 3.838
angles (deg): 90.00 90.00 90.00
Sites, in units of the cell vectors:
Mn 0.000 0.500 0.000
Mn 0.500 0.000 0.000
Ge 0.000 0.000 0.500
Au 0.500 0.500 0.500

## Properties
E	-25.990	eV/f.u.
calculated volume	14.76	A^3/atom
symmetry	P4/mmm (123)
DFT formation energy	0.061	eV/atom

---

5.
A plane-wave DFT calculation with PBE was carried out for crystalline Cd2HgPt at its relaxed geometry.

a b c (Å): 5.314 5.314 5.314
angles (deg): 133.52 133.52 67.84
Sites, in units of the cell vectors:
Cd 0.000 0.000 0.000
Cd 0.750 0.250 0.500
Hg 0.500 0.500 0.000
Pt 0.250 0.750 0.500

## Properties
E	-8.598	eV/f.u.
calculated volume	19.39	A^3/atom
symmetry	I-4m2 (119)
DFT formation energy	-0.106	eV/atom

---

6.
A plane-wave DFT calculation with PBE was carried out for crystalline CdCo2I at its relaxed geometry.

a b c (Å): 7.081 7.081 7.081
angles (deg): 130.53 130.53 72.56
Sites, in units of the cell vectors:
Cd 0.000 0.000 0.000
Cd 0.750 0.250 0.500
Co 0.143 0.625 0.018
Co 0.375 0.393 0.518
Co 0.607 0.125 0.982
Co 0.875 0.857 0.482
I 0.250 0.750 0.500
I 0.500 0.500 0.000

## Properties
E	-13.018	eV/f.u.
formation energy (no corrections)	353.0	kJ/mol of formula units
excess energy over the best structure of this formula in the dataset	0.126	eV per atom
calculated volume	25.06	A^3/atom
symmetry	I-42d (122)

---

7.
A plane-wave DFT calculation with PBE was carried out for crystalline GaTe2Pb3F6 at its relaxed geometry.

a b c (Å): 8.236 8.236 5.879
angles (deg): 90.65 90.65 45.58
Sites, in units of the cell vectors:
Ga 0.000 0.000 0.000
Te 0.274 0.274 0.491
Te 0.726 0.726 0.509
Pb 0.000 0.500 0.000
Pb 0.500 0.000 0.000
Pb 0.500 0.500 0.500
F 0.126 0.126 0.930
F 0.195 0.761 0.781
F 0.239 0.805 0.219
F 0.761 0.195 0.781
F 0.805 0.239 0.219
F 0.874 0.874 0.070

## Properties
E	-52.156	eV/f.u.
formation energy (no corrections)	-1977.3	kJ/mol of formula units
calculated volume	23.73	A^3/atom
symmetry	C2/m (12)

---

8.
A plane-wave DFT calculation with PBE was carried out for crystalline BaInSn3 at its relaxed geometry.

a b c (Å): 6.230 6.230 6.230
angles (deg): 90.00 90.00 90.00
Sites, in units of the cell vectors:
Ba 0.000 0.000 0.000
In 0.500 0.500 0.500
Sn 0.000 0.000 0.500
Sn 0.000 0.500 0.000
Sn 0.500 0.000 0.000

## Properties
E	-12.416	eV/f.u.
excess energy over the best structure of this formula in the dataset	1.192	eV per atom
calculated volume	48.36	A^3/atom
symmetry	Pm-3m (221)
DFT formation energy	0.851	eV/atom

---

9.
A plane-wave DFT calculation with PBE was carried out for crystalline CaInNi2 at its relaxed geometry.

a b c (Å): 3.263 3.425 6.438
angles (deg): 90.00 90.17 90.00
Sites, in units of the cell vectors:
Ca 0.000 0.000 0.000
In 0.000 0.000 0.500
Ni 0.500 0.500 0.297
Ni 0.500 0.500 0.703

## Properties
E	-16.565	eV/f.u.
calculated volume	17.99	A^3/atom
symmetry	P2/m (10)
DFT formation energy	-0.066	eV/atom

---

10.
A plane-wave DFT calculation with PBE was carried out for crystalline YNi2Ru2 at its relaxed geometry.

a b c (Å): 7.203 7.203 2.898
angles (deg): 90.00 90.00 90.00
Sites, in units of the cell vectors:
Y 0.000 0.000 0.000
Y 0.500 0.500 0.000
Ni 0.121 0.379 0.000
Ni 0.379 0.879 0.000
Ni 0.621 0.121 0.000
Ni 0.879 0.621 0.000
Ru 0.171 0.671 0.500
Ru 0.329 0.171 0.500
Ru 0.671 0.829 0.500
Ru 0.829 0.329 0.500

## Properties
E	-36.031	eV/f.u.
excess energy over the best structure of this formula in the dataset	0.146	eV per atom
calculated volume	15.04	A^3/atom
symmetry	P4/mbm (127)
DFT formation energy	0.110	eV/atom

---

11.
A plane-wave DFT calculation with PBE was carried out for crystalline AcLaInBi at its relaxed geometry.

a b c (Å): 5.775 5.775 5.775
angles (deg): 60.00 60.00 60.00
Sites, in units of the cell vectors:
Ac 0.000 0.000 0.000
La 0.500 0.500 0.500
In 0.250 0.250 0.250
Bi 0.750 0.750 0.750

## Properties
E	-17.805	eV/f.u.
calculated volume	34.04	A^3/atom
symmetry	F-43m (216)
DFT formation energy	-0.537	eV/atom

---

12.
A plane-wave DFT calculation with PBE was carried out for crystalline KV2SnGe at its relaxed geometry.

a b c (Å): 5.071 5.071 5.666
angles (deg): 90.00 90.00 90.00
Sites, in units of the cell vectors:
K 0.000 0.000 0.000
V 0.000 0.500 0.000
V 0.500 0.000 0.000
Sn 0.000 0.000 0.500
Ge 0.500 0.500 0.500

## Properties
E	-17.197	eV/f.u.
calculated volume	29.14	A^3/atom
symmetry	P4/mmm (123)
DFT formation energy	2.151	eV/atom